No. 1
# InPI2O | Alexandria | PBE-GGA | optimized geometry
data_InPI2O
_space_group_name_H-M_alt 'P 4/m m m'
_space_group_IT_number 123
_space_group_name_Hall '-P 4 2'
_cell_length_a 6.165
_cell_length_b 6.165
_cell_length_c 3.982
_cell_angle_alpha 90.00
_cell_angle_beta 90.00
_cell_angle_gamma 90.00
loop_
_atom_site_label
_atom_site_type_symbol
_atom_site_fract_x
_atom_site_fract_y
_atom_site_fract_z
_atom_site_occupancy
In1 In 0.000 0.000 0.000 1
P1 P 0.500 0.500 0.500 1
I1 I 0.000 0.500 0.000 1
O1 O 0.000 0.000 0.500 1
# - raw formation energy (meV per atom) = 268
# - crystal system = tetragonal
# - DOS at the Fermi energy (states/eV/cell) = 3.4
# - offset from the most stable computed form (eV/f.u.) = 2.73

No. 2
# InPI2O | Alexandria | PBE-GGA | optimized geometry
data_InPI2O
_space_group_name_H-M_alt 'P 4/m m m'
_space_group_IT_number 123
_space_group_name_Hall '-P 4 2'
_cell_length_a 6.269
_cell_length_b 6.269
_cell_length_c 3.549
_cell_angle_alpha 90.00
_cell_angle_beta 90.00
_cell_angle_gamma 90.00
loop_
_atom_site_label
_atom_site_type_symbol
_atom_site_fract_x
_atom_site_fract_y
_atom_site_fract_z
_atom_site_occupancy
In1 In 0.000 0.000 0.000 1
P1 P 0.500 0.500 0.500 1
I1 I 0.000 0.500 0.500 1
O1 O 0.500 0.500 0.000 1
# - raw formation energy (meV per atom) = -277
# - crystal system = tetragonal
# - DOS at the Fermi energy (states/eV/cell) = 2.0
# - offset from the most stable computed form (eV/f.u.) = 0.00

No. 3
# InPbI2O | Alexandria | PBE-GGA | optimized geometry
data_InPbI2O
_space_group_name_H-M_alt 'P 4/m m m'
_space_group_IT_number 123
_space_group_name_Hall '-P 4 2'
_cell_length_a 6.418
_cell_length_b 6.418
_cell_length_c 4.257
_cell_angle_alpha 90.00
_cell_angle_beta 90.00
_cell_angle_gamma 90.00
loop_
_atom_site_label
_atom_site_type_symbol
_atom_site_fract_x
_atom_site_fract_y
_atom_site_fract_z
_atom_site_occupancy
In1 In 0.000 0.000 0.000 1
Pb1 Pb 0.500 0.500 0.500 1
I1 I 0.000 0.500 0.500 1
O1 O 0.500 0.500 0.000 1
# - raw formation energy (meV per atom) = -409
# - crystal system = tetragonal
# - DOS at the Fermi energy (states/eV/cell) = 0.8
# - offset from the most stable computed form (eV/f.u.) = 0.08

No. 4
# InPbI2O | Alexandria | PBE-GGA | optimized geometry
data_InPbI2O
_space_group_name_H-M_alt 'P 4/m m m'
_space_group_IT_number 123
_space_group_name_Hall '-P 4 2'
_cell_length_a 6.215
_cell_length_b 6.215
_cell_length_c 3.994
_cell_angle_alpha 90.00
_cell_angle_beta 90.00
_cell_angle_gamma 90.00
loop_
_atom_site_label
_atom_site_type_symbol
_atom_site_fract_x
_atom_site_fract_y
_atom_site_fract_z
_atom_site_occupancy
In1 In 0.000 0.000 0.000 1
Pb1 Pb 0.500 0.500 0.500 1
I1 I 0.000 0.500 0.000 1
O1 O 0.000 0.000 0.500 1
# - raw formation energy (meV per atom) = -425
# - crystal system = tetragonal
# - DOS at the Fermi energy (states/eV/cell) = 2.8
# - offset from the most stable computed form (eV/f.u.) = 0.00

No. 5
# InPdI2O | Alexandria | PBE-GGA | optimized geometry
data_InPdI2O
_space_group_name_H-M_alt 'P 4/m m m'
_space_group_IT_number 123
_space_group_name_Hall '-P 4 2'
_cell_length_a 5.808
_cell_length_b 5.808
_cell_length_c 3.947
_cell_angle_alpha 90.00
_cell_angle_beta 90.00
_cell_angle_gamma 90.00
loop_
_atom_site_label
_atom_site_type_symbol
_atom_site_fract_x
_atom_site_fract_y
_atom_site_fract_z
_atom_site_occupancy
In1 In 0.000 0.000 0.000 1
Pd1 Pd 0.500 0.500 0.500 1
I1 I 0.000 0.500 0.500 1
O1 O 0.500 0.500 0.000 1
# - raw formation energy (meV per atom) = -165
# - crystal system = tetragonal
# - DOS at the Fermi energy (states/eV/cell) = 2.0
# - offset from the most stable computed form (eV/f.u.) = 0.00

No. 6
# InPdI2O | Alexandria | PBE-GGA | optimized geometry
data_InPdI2O
_space_group_name_H-M_alt 'P 4/m m m'
_space_group_IT_number 123
_space_group_name_Hall '-P 4 2'
_cell_length_a 5.991
_cell_length_b 5.991
_cell_length_c 3.900
_cell_angle_alpha 90.00
_cell_angle_beta 90.00
_cell_angle_gamma 90.00
loop_
_atom_site_label
_atom_site_type_symbol
_atom_site_fract_x
_atom_site_fract_y
_atom_site_fract_z
_atom_site_occupancy
In1 In 0.000 0.000 0.000 1
Pd1 Pd 0.500 0.500 0.500 1
I1 I 0.000 0.500 0.000 1
O1 O 0.000 0.000 0.500 1
# - raw formation energy (meV per atom) = 9
# - crystal system = tetragonal
# - DOS at the Fermi energy (states/eV/cell) = 4.5
# - offset from the most stable computed form (eV/f.u.) = 0.87

No. 7
# PmIn2IO8 | Alexandria | PBE-GGA | optimized geometry
data_PmIn2IO8
_space_group_name_H-M_alt 'P 1 2/m 1'
_space_group_IT_number 10
_cell_length_a 4.944
_cell_length_b 6.836
_cell_length_c 4.949
_cell_angle_alpha 90.00
_cell_angle_beta 90.11
_cell_angle_gamma 90.00
loop_
_space_group_symop_operation_xyz
'x,y,z'
'-x,-y,-z'
'-x,y,-z'
'x,-y,z'
loop_
_atom_site_label
_atom_site_type_symbol
_atom_site_fract_x
_atom_site_fract_y
_atom_site_fract_z
_atom_site_occupancy
Pm1 Pm 0.000 0.000 0.000 1
In1 In 0.500 0.251 0.500 1
I1 I 0.000 0.500 0.000 1
O1 O 0.184 0.295 0.185 1
O2 O 0.281 0.500 0.721 1
O3 O 0.320 0.000 0.685 1
# - raw formation energy (meV per atom) = -1403
# - crystal system = monoclinic
# - DOS at the Fermi energy (states/eV/cell) = 1.2

No. 8
# PrIn2IO8 | Alexandria | PBE-GGA | optimized geometry
data_PrIn2IO8
_space_group_name_H-M_alt 'P 1 2/m 1'
_space_group_IT_number 10
_cell_length_a 4.954
_cell_length_b 6.905
_cell_length_c 4.957
_cell_angle_alpha 90.00
_cell_angle_beta 90.59
_cell_angle_gamma 90.00
loop_
_space_group_symop_operation_xyz
'x,y,z'
'-x,-y,-z'
'-x,y,-z'
'x,-y,z'
loop_
_atom_site_label
_atom_site_type_symbol
_atom_site_fract_x
_atom_site_fract_y
_atom_site_fract_z
_atom_site_occupancy
Pr1 Pr 0.000 0.000 0.000 1
In1 In 0.500 0.252 0.500 1
I1 I 0.000 0.500 0.000 1
O1 O 0.184 0.298 0.188 1
O2 O 0.281 0.500 0.724 1
O3 O 0.324 0.000 0.683 1
# - raw formation energy (meV per atom) = -1374
# - crystal system = monoclinic
# - DOS at the Fermi energy (states/eV/cell) = 1.6

No. 9
# InPtIO2 | Alexandria | PBE-GGA | optimized geometry
data_InPtIO2
_space_group_name_H-M_alt 'P 4/m m m'
_space_group_IT_number 123
_space_group_name_Hall '-P 4 2'
_cell_length_a 4.021
_cell_length_b 4.021
_cell_length_c 7.068
_cell_angle_alpha 90.00
_cell_angle_beta 90.00
_cell_angle_gamma 90.00
loop_
_atom_site_label
_atom_site_type_symbol
_atom_site_fract_x
_atom_site_fract_y
_atom_site_fract_z
_atom_site_occupancy
In1 In 0.000 0.000 0.000 1
Pt1 Pt 0.500 0.500 0.500 1
I1 I 0.000 0.000 0.500 1
O1 O 0.000 0.500 0.000 1
# - raw formation energy (meV per atom) = 38
# - crystal system = tetragonal
# - DOS at the Fermi energy (states/eV/cell) = 6.5
# - offset from the most stable computed form (eV/f.u.) = 0.00

No. 10
# InPtIO2 | Alexandria | PBE-GGA | optimized geometry
data_InPtIO2
_space_group_name_H-M_alt 'P 4/m m m'
_space_group_IT_number 123
_space_group_name_Hall '-P 4 2'
_cell_length_a 4.204
_cell_length_b 4.204
_cell_length_c 5.616
_cell_angle_alpha 90.00
_cell_angle_beta 90.00
_cell_angle_gamma 90.00
loop_
_atom_site_label
_atom_site_type_symbol
_atom_site_fract_x
_atom_site_fract_y
_atom_site_fract_z
_atom_site_occupancy
In1 In 0.000 0.000 0.000 1
Pt1 Pt 0.500 0.500 0.500 1
I1 I 0.500 0.500 0.000 1
O1 O 0.000 0.500 0.500 1
# - raw formation energy (meV per atom) = 133
# - crystal system = tetragonal
# - DOS at the Fermi energy (states/eV/cell) = 4.1
# - offset from the most stable computed form (eV/f.u.) = 0.47

No. 11
# Rb2InI6O | Alexandria | PBE-GGA | optimized geometry
data_Rb2InI6O
_space_group_name_H-M_alt 'I 4/m m m'
_space_group_IT_number 139
_space_group_name_Hall '-I 4 2'
_cell_length_a 9.049
_cell_length_b 9.049
_cell_length_c 10.517
_cell_angle_alpha 90.00
_cell_angle_beta 90.00
_cell_angle_gamma 90.00
loop_
_atom_site_label
_atom_site_type_symbol
_atom_site_fract_x
_atom_site_fract_y
_atom_site_fract_z
_atom_site_occupancy
Rb1 Rb 0.000 0.500 0.250 1
In1 In 0.000 0.000 0.000 1
I1 I 0.000 0.000 0.293 1
I2 I 0.227 0.227 0.000 1
O1 O 0.000 0.000 0.500 1
# - raw formation energy (meV per atom) = -605
# - crystal system = tetragonal
# - DOS at the Fermi energy (states/eV/cell) = 20.3

No. 12
# Rb3InI6O18 | Alexandria | PBE-GGA | optimized geometry
data_Rb3InI6O18
_space_group_name_H-M_alt 'P -1'
_space_group_IT_number 2
_cell_length_a 7.183
_cell_length_b 7.214
_cell_length_c 10.891
_cell_angle_alpha 88.07
_cell_angle_beta 72.13
_cell_angle_gamma 72.71
loop_
_space_group_symop_operation_xyz
'x,y,z'
'-x,-y,-z'
loop_
_atom_site_label
_atom_site_type_symbol
_atom_site_fract_x
_atom_site_fract_y
_atom_site_fract_z
_atom_site_occupancy
Rb1 Rb 0.000 0.000 0.000 1
Rb2 Rb 0.168 0.028 0.601 1
In1 In 0.500 0.500 0.000 1
I1 I 0.026 0.527 0.809 1
I2 I 0.418 0.448 0.361 1
I3 I 0.442 0.958 0.191 1
O1 O 0.050 0.549 0.322 1
O2 O 0.081 0.208 0.185 1
O3 O 0.169 0.540 0.051 1
O4 O 0.291 0.154 0.813 1
O5 O 0.306 0.845 0.328 1
O6 O 0.334 0.568 0.615 1
O7 O 0.411 0.201 0.396 1
O8 O 0.427 0.816 0.055 1
O9 O 0.464 0.606 0.818 1
# - raw formation energy (meV per atom) = -783
# - crystal system = triclinic
# - DOS at the Fermi energy (states/eV/cell) = 0.0